# KRe2Ir GGA-PBEsol optimized geometry
data_KRe2Ir
_chemical_formula_sum 'K1 Re2 Ir1'
_space_group_name_H-M_alt 'P 4/m m m'
_space_group_IT_number 123
_space_group_name_Hall '-P 4 2'
_cell_length_a 2.682
_cell_length_b 2.682
_cell_length_c 9.833
_cell_angle_alpha 90.00
_cell_angle_beta 90.00
_cell_angle_gamma 90.00
loop_
_atom_site_label
_atom_site_fract_x
_atom_site_fract_y
_atom_site_fract_z
_atom_site_occupancy
K1 0.000 0.000 0.000 1
Re1 0.500 0.500 0.302 1
Ir1 0.000 0.000 0.500 1
# Crystal system: tetragonal
# M_tot, μB per cell: 0.0
# Density, g/cm3: 14.18
# E_form, eV per atom: 0.86
# Calculated total energy, eV per atom: -8.550


# KReIr2 GGA-PBEsol optimized geometry
data_KReIr2
_chemical_formula_sum 'K1 Re1 Ir2'
_space_group_name_H-M_alt 'P 1 m 1'
_space_group_IT_number 6
_space_group_name_Hall 'P -2y'
_cell_length_a 2.695
_cell_length_b 4.248
_cell_length_c 7.137
_cell_angle_alpha 90.00
_cell_angle_beta 97.76
_cell_angle_gamma 90.00
loop_
_atom_site_label
_atom_site_fract_x
_atom_site_fract_y
_atom_site_fract_z
_atom_site_occupancy
K1 0.000 0.000 0.000 1
Re1 0.783 0.500 0.377 1
Ir1 0.323 0.000 0.478 1
Ir2 0.398 0.500 0.693 1
# Crystal system: monoclinic
# M_tot, μB per cell: 0.0
# Density, g/cm3: 12.51
# E_form, eV per atom: 0.83
# Calculated total energy, eV per atom: -7.696


# KIrRh2 GGA-PBEsol optimized geometry
data_KIrRh2
_chemical_formula_sum 'K2 Ir2 Rh4'
_space_group_name_H-M_alt 'C m m 2'
_space_group_IT_number 35
_space_group_name_Hall 'C 2 -2'
_cell_length_a 2.753
_cell_length_b 4.670
_cell_length_c 9.986
_cell_angle_alpha 90.00
_cell_angle_beta 90.00
_cell_angle_gamma 90.00
loop_
_atom_site_label
_atom_site_fract_x
_atom_site_fract_y
_atom_site_fract_z
_atom_site_occupancy
K1 0.000 0.000 0.000 1
Ir1 0.000 0.500 0.719 1
Rh1 0.000 0.000 0.496 1
Rh2 0.000 0.500 0.276 1
# Crystal system: orthorhombic
# Excess energy over the best structure of this formula in the dataset, kJ/mol of formula units: 13.9
# M_tot, μB per cell: 0.0
# Density, g/cm3: 11.31
# E_form, eV per atom: 0.65
# Calculated total energy, eV per atom: -6.158


# KIrRh2 GGA-PBEsol optimized geometry
data_KIrRh2
_chemical_formula_sum 'K1 Ir1 Rh2'
_space_group_name_H-M_alt 'P 4/m m m'
_space_group_IT_number 123
_space_group_name_Hall '-P 4 2'
_cell_length_a 4.815
_cell_length_b 4.815
_cell_length_c 2.723
_cell_angle_alpha 90.00
_cell_angle_beta 90.00
_cell_angle_gamma 90.00
loop_
_atom_site_label
_atom_site_fract_x
_atom_site_fract_y
_atom_site_fract_z
_atom_site_occupancy
K1 0.000 0.000 0.000 1
Ir1 0.500 0.500 0.000 1
Rh1 0.000 0.500 0.500 1
# Crystal system: tetragonal
# Excess energy over the best structure of this formula in the dataset, kJ/mol of formula units: 108.5
# M_tot, μB per cell: 0.0
# Density, g/cm3: 11.50
# E_form, eV per atom: 0.90
# Calculated total energy, eV per atom: -5.912


# KIrRh2 GGA-PBEsol optimized geometry
data_KIrRh2
_chemical_formula_sum 'K1 Ir1 Rh2'
_space_group_name_H-M_alt 'P 1 m 1'
_space_group_IT_number 6
_space_group_name_Hall 'P -2y'
_cell_length_a 2.660
_cell_length_b 4.201
_cell_length_c 6.922
_cell_angle_alpha 90.00
_cell_angle_beta 100.98
_cell_angle_gamma 90.00
loop_
_atom_site_label
_atom_site_fract_x
_atom_site_fract_y
_atom_site_fract_z
_atom_site_occupancy
K1 0.000 0.000 0.000 1
Ir1 0.324 0.500 0.645 1
Rh1 0.660 0.500 0.314 1
Rh2 0.766 0.000 0.528 1
# Crystal system: monoclinic
# Excess energy over the best structure of this formula in the dataset, kJ/mol of formula units: 0.0
# M_tot, μB per cell: 0.0
# Density, g/cm3: 9.56
# E_form, eV per atom: 0.61
# Calculated total energy, eV per atom: -6.194


# KIr3Rh GGA-PBEsol optimized geometry
data_KIr3Rh
_chemical_formula_sum 'K1 Ir3 Rh1'
_space_group_name_H-M_alt 'P m -3 m'
_space_group_IT_number 221
_space_group_name_Hall '-P 4 2 3'
_cell_length_a 4.743
_cell_length_b 4.743
_cell_length_c 4.743
_cell_angle_alpha 90.00
_cell_angle_beta 90.00
_cell_angle_gamma 90.00
loop_
_atom_site_label
_atom_site_fract_x
_atom_site_fract_y
_atom_site_fract_z
_atom_site_occupancy
K1 0.000 0.000 0.000 1
Ir1 0.000 0.500 0.500 1
Rh1 0.500 0.500 0.500 1
# Crystal system: cubic
# M_tot, μB per cell: 0.0
# Density, g/cm3: 11.18
# E_form, eV per atom: 1.79
# Calculated total energy, eV per atom: -5.960


# KIrRu2 GGA-PBEsol optimized geometry
data_KIrRu2
_chemical_formula_sum 'K2 Ir2 Ru4'
_space_group_name_H-M_alt 'I -4 m 2'
_space_group_IT_number 119
_space_group_name_Hall 'I -4 -2'
_cell_length_a 4.251
_cell_length_b 4.251
_cell_length_c 6.931
_cell_angle_alpha 90.00
_cell_angle_beta 90.00
_cell_angle_gamma 90.00
loop_
_atom_site_label
_atom_site_fract_x
_atom_site_fract_y
_atom_site_fract_z
_atom_site_occupancy
K1 0.000 0.000 0.000 1
Ir1 0.000 0.500 0.750 1
Ru1 0.000 0.000 0.500 1
Ru2 0.000 0.500 0.250 1
# Crystal system: tetragonal
# Excess energy over the best structure of this formula in the dataset, kJ/mol of formula units: 233.7
# M_tot, μB per cell: 0.0
# Density, g/cm3: 11.49
# E_form, eV per atom: 1.45
# Calculated total energy, eV per atom: -6.378


# KIr2Ru GGA-PBEsol optimized geometry
data_KIr2Ru
_chemical_formula_sum 'K2 Ir4 Ru2'
_space_group_name_H-M_alt 'I m m 2'
_space_group_IT_number 44
_space_group_name_Hall 'I 2 -2'
_cell_length_a 2.683
_cell_length_b 4.935
_cell_length_c 10.215
_cell_angle_alpha 90.00
_cell_angle_beta 90.00
_cell_angle_gamma 90.00
loop_
_atom_site_label
_atom_site_fract_x
_atom_site_fract_y
_atom_site_fract_z
_atom_site_occupancy
K1 0.000 0.000 0.000 1
Ir1 0.000 0.000 0.495 1
Ir2 0.000 0.500 0.215 1
Ru1 0.000 0.500 0.783 1
# Crystal system: orthorhombic
# M_tot, μB per cell: 0.0
# Density, g/cm3: 12.88
# E_form, eV per atom: 0.91
# Calculated total energy, eV per atom: -6.832


# KIrRu2 GGA-PBEsol optimized geometry
data_KIrRu2
_chemical_formula_sum 'K1 Ir1 Ru2'
_space_group_name_H-M_alt 'P 4/m m m'
_space_group_IT_number 123
_space_group_name_Hall '-P 4 2'
_cell_length_a 3.076
_cell_length_b 3.076
_cell_length_c 8.047
_cell_angle_alpha 90.00
_cell_angle_beta 90.00
_cell_angle_gamma 90.00
loop_
_atom_site_label
_atom_site_fract_x
_atom_site_fract_y
_atom_site_fract_z
_atom_site_occupancy
K1 0.000 0.000 0.000 1
Ir1 0.000 0.000 0.500 1
Ru1 0.500 0.500 0.331 1
# Crystal system: tetragonal
# Excess energy over the best structure of this formula in the dataset, kJ/mol of formula units: 50.6
# M_tot, μB per cell: 1.2
# Density, g/cm3: 9.45
# E_form, eV per atom: 0.97
# Calculated total energy, eV per atom: -6.852


# K2IrRu GGA-PBEsol optimized geometry
data_K2IrRu
_chemical_formula_sum 'K6 Ir3 Ru3'
_space_group_name_H-M_alt 'R -3 m'
_space_group_IT_number 166
_space_group_name_Hall '-R 3 2"'
_cell_length_a 2.7704
_cell_length_b 2.7704
_cell_length_c 33.4811
_cell_angle_alpha 90.00
_cell_angle_beta 90.00
_cell_angle_gamma 120.00
loop_
_atom_site_label
_atom_site_fract_x
_atom_site_fract_y
_atom_site_fract_z
_atom_site_occupancy
K1 0.0000 0.0000 0.2487 1
Ir1 0.0000 0.0000 0.5000 1
Ru1 0.0000 0.0000 0.0000 1
# Crystal system: trigonal
# M_tot, μB per cell: 0.6
# Density, g/cm3: 8.32
# E_form, eV per atom: 1.08
# Calculated total energy, eV per atom: -4.486


# KIrRu2 GGA-PBEsol optimized geometry
data_KIrRu2
_chemical_formula_sum 'K2 Ir2 Ru4'
_space_group_name_H-M_alt 'I m m m'
_space_group_IT_number 71
_space_group_name_Hall '-I 2 2'
_cell_length_a 2.673
_cell_length_b 4.968
_cell_length_c 10.183
_cell_angle_alpha 90.00
_cell_angle_beta 90.00
_cell_angle_gamma 90.00
loop_
_atom_site_label
_atom_site_fract_x
_atom_site_fract_y
_atom_site_fract_z
_atom_site_occupancy
K1 0.000 0.000 0.000 1
Ir1 0.000 0.000 0.500 1
Ru1 0.000 0.500 0.214 1
# Crystal system: orthorhombic
# Excess energy over the best structure of this formula in the dataset, kJ/mol of formula units: 67.2
# M_tot, μB per cell: 0.0
# Density, g/cm3: 10.65
# E_form, eV per atom: 1.02
# Calculated total energy, eV per atom: -6.809


# KIrRu2 GGA-PBEsol optimized geometry
data_KIrRu2
_chemical_formula_sum 'K2 Ir2 Ru4'
_space_group_name_H-M_alt 'C m m 2'
_space_group_IT_number 35
_space_group_name_Hall 'C 2 -2'
_cell_length_a 2.766
_cell_length_b 4.620
_cell_length_c 10.054
_cell_angle_alpha 90.00
_cell_angle_beta 90.00
_cell_angle_gamma 90.00
loop_
_atom_site_label
_atom_site_fract_x
_atom_site_fract_y
_atom_site_fract_z
_atom_site_occupancy
K1 0.000 0.000 0.000 1
Ir1 0.000 0.500 0.724 1
Ru1 0.000 0.000 0.499 1
Ru2 0.000 0.500 0.286 1
# Crystal system: orthorhombic
# Excess energy over the best structure of this formula in the dataset, kJ/mol of formula units: 0.0
# M_tot, μB per cell: 1.5
# Density, g/cm3: 11.20
# E_form, eV per atom: 0.84
# Calculated total energy, eV per atom: -6.983